Entry 1:
{
  "formula": "RbZn2Sb2Pb",
  "functional": "PBE",
  "state": "optimized geometry",
  "lattice": [[4.937, 0.000, 0.000], [-2.468, 4.276, 0.000], [0.000, 0.000, 8.700]],
  "species": ["Rb", "Zn", "Zn", "Sb", "Sb", "Pb"],
  "frac_coords": [[0.000, 0.000, 0.000], [0.333, 0.667, 0.661], [0.667, 0.333, 0.339], [0.333, 0.667, 0.296], [0.667, 0.333, 0.704], [0.000, 0.000, 0.500]],
  "volume_a3_per_cell": 183.6,
  "sg": "P-3m1 (164)",
  "raw_formation_energy_ev_per_atom": -0.134
}

Entry 2:
{
  "formula": "RbZn2SbPb",
  "functional": "PBE",
  "state": "optimized geometry",
  "lattice": [[5.582, 0.000, 0.000], [0.000, 5.582, 0.000], [0.000, 0.000, 6.099]],
  "species": ["Rb", "Zn", "Zn", "Sb", "Pb"],
  "frac_coords": [[0.000, 0.000, 0.000], [0.000, 0.500, 0.500], [0.500, 0.000, 0.500], [0.500, 0.500, 0.500], [0.500, 0.500, 0.000]],
  "volume_a3_per_cell": 190.0,
  "sg": "P4/mmm (123)",
  "raw_formation_energy_ev_per_atom": 0.268
}

Entry 3:
{
  "formula": "Rb3ScPb",
  "functional": "PBE",
  "state": "optimized geometry",
  "lattice": [[7.055, 0.000, 0.000], [0.000, 7.055, 0.000], [0.000, 0.000, 7.055]],
  "species": ["Rb", "Rb", "Rb", "Sc", "Pb"],
  "frac_coords": [[0.000, 0.000, 0.500], [0.000, 0.500, 0.000], [0.500, 0.000, 0.000], [0.500, 0.500, 0.500], [0.000, 0.000, 0.000]],
  "volume_a3_per_cell": 351.2,
  "sg": "Pm-3m (221)",
  "delta_e_f_ev_per_atom": 0.7430
}

Entry 4:
{
  "formula": "RbSc2Pb2",
  "functional": "PBE",
  "state": "optimized geometry",
  "lattice": [[9.269, 0.000, 0.000], [0.000, 9.269, 0.000], [0.000, 0.000, 3.338]],
  "species": ["Rb", "Rb", "Sc", "Sc", "Sc", "Sc", "Pb", "Pb", "Pb", "Pb"],
  "frac_coords": [[0.000, 0.000, 0.000], [0.500, 0.500, 0.000], [0.127, 0.373, 0.000], [0.373, 0.873, 0.000], [0.627, 0.127, 0.000], [0.873, 0.627, 0.000], [0.165, 0.665, 0.500], [0.335, 0.165, 0.500], [0.665, 0.835, 0.500], [0.835, 0.335, 0.500]],
  "e_above_lowest_polymorph_ev_per_atom": 0.000,
  "volume_a3_per_cell": 286.8,
  "sg": "P4/mbm (127)",
  "delta_e_f_ev_per_atom": -0.2018
}

Entry 5:
{
  "formula": "Rb2ScPb",
  "functional": "PBE",
  "state": "optimized geometry",
  "lattice": [[13.884, 0.000, 0.000], [0.000, 13.884, 0.000], [0.000, 0.000, 5.649]],
  "species": ["Rb", "Rb", "Rb", "Rb", "Rb", "Rb", "Rb", "Rb", "Sc", "Sc", "Sc", "Sc", "Pb", "Pb", "Pb", "Pb"],
  "frac_coords": [[0.082, 0.750, 0.125], [0.250, 0.082, 0.875], [0.250, 0.418, 0.375], [0.418, 0.750, 0.625], [0.582, 0.250, 0.625], [0.750, 0.582, 0.375], [0.750, 0.918, 0.875], [0.918, 0.250, 0.125], [0.000, 0.000, 0.500], [0.000, 0.500, 0.750], [0.500, 0.000, 0.250], [0.500, 0.500, 0.000], [0.000, 0.000, 0.000], [0.000, 0.500, 0.250], [0.500, 0.000, 0.750], [0.500, 0.500, 0.500]],
  "volume_a3_per_cell": 1088.9,
  "sg": "I-42d (122)",
  "delta_e_f_ev_per_atom": 0.3156
}

Entry 6:
{
  "formula": "RbSc3Pb",
  "functional": "PBE",
  "state": "optimized geometry",
  "lattice": [[5.706, 0.000, 0.000], [0.000, 5.706, 0.000], [0.000, 0.000, 5.706]],
  "species": ["Rb", "Sc", "Sc", "Sc", "Pb"],
  "frac_coords": [[0.000, 0.000, 0.000], [0.000, 0.500, 0.500], [0.500, 0.000, 0.500], [0.500, 0.500, 0.000], [0.500, 0.500, 0.500]],
  "e_above_lowest_polymorph_ev_per_atom": 0.000,
  "volume_a3_per_cell": 185.8,
  "sg": "Pm-3m (221)",
  "delta_e_f_ev_per_atom": 0.5658
}